Run A
Mg2SiAu2: optimized geometry, PBE.

POSCAR file:
```
Mg2SiAu2
1.0
7.7422 0.0000 0.0000
0.0000 7.7422 0.0000
0.0000 0.0000 3.1608
Mg Au Si
4 4 2
direct
0.3467 0.8467 0.0000 Mg
0.8467 0.6533 0.0000 Mg
0.6533 0.1533 0.0000 Mg
0.1533 0.3467 0.0000 Mg
0.6418 0.8582 0.5000 Au
0.1418 0.6418 0.5000 Au
0.3582 0.1418 0.5000 Au
0.8582 0.3582 0.5000 Au
0.5000 0.5000 0.0000 Si
0.0000 0.0000 0.0000 Si
```

Space group: No. 127
Total magnetization, μB/cell: 0.00

Run B
Mg2SiAu2: optimized geometry, PBE.

POSCAR file:
```
Mg2SiAu2
1.0
-0.3595 1.2688 3.7459
-3.7225 -1.3789 0.1098
0.0971 -5.6597 4.0314
Si Au Mg
1 2 2
direct
0.0000 0.0000 0.0000 Si
0.6066 0.6066 0.7867 Au
0.3934 0.3934 0.2133 Au
0.2500 0.7500 0.5000 Mg
0.7500 0.2500 0.5000 Mg
```

Space group: No. 139
Total magnetization, μB/cell: 0.00

Order from most stable to least stable according to the calculation: run A, run B